1.
An optimized crystal structure of Os2CBr, computed with GGA-PBE.

Values from the calculation:
Its offset from the most stable computed form is 1008 meV per atom. As for the space group: Fm-3m, No. 225.

Cell lengths 4.2065, 4.2065, 4.2065 Å; angles 60.00, 60.00, 60.00 degrees
Last column: nearest neighbours and their distance in Å.
Sites, in units of the cell vectors:
Os: 0.7500 0.7500 0.7500  4 C 2.58, 4 Br 2.58
Os: 0.2500 0.2500 0.2500  4 Br 2.58, 4 C 2.58
Br: 0.5000 0.5000 0.5000  8 Os 2.58
C: 0.0000 0.0000 0.0000  8 Os 2.58

2.
An optimized crystal structure of Pm8Os3CBr3, computed with GGA-PBE.

Values from the calculation:
As for the space group: R-3m, No. 166.

Cell lengths 8.1319, 8.1336, 9.0315 Å; angles 116.78, 90.02, 119.98 degrees
Last column: nearest neighbours and their distance in Å.
Sites, in units of the cell vectors:
Pm: 0.2175 0.4351 0.6810  1 C 2.62, 2 Os 2.79
Br: 0.5000 0.5000 0.0000  6 Pm 3.27-3.36
C: 0.0000 0.0000 0.5000  6 Pm 2.62
Pm: 0.2177 0.9637 0.6810  1 C 2.62, 2 Os 2.79
Pm: 0.2652 0.5305 0.2959  3 Os 2.83
Os: 0.5000 0.5000 0.5000  6 Pm 2.79-2.83
Pm: 0.2539 0.0363 0.3192  1 C 2.62, 2 Os 2.79
Br: 0.0000 0.5000 0.0000  6 Pm 3.27-3.36
Br: 0.0000 0.0000 0.0000  6 Pm 3.27-3.36
Pm: 0.7348 0.4695 0.7041  3 Os 2.83
Pm: 0.7825 0.5649 0.3190  1 C 2.62, 2 Os 2.79
Pm: 0.7823 0.0363 0.3190  1 C 2.62, 2 Os 2.79
Os: 0.0000 0.5000 0.5000  6 Pm 2.79-2.83
Os: 0.5000 0.0000 0.5000  6 Pm 2.79-2.83
Pm: 0.7461 0.9637 0.6808  1 C 2.62, 2 Os 2.79

3.
An optimized crystal structure of Pr8Os3CBr3, computed with GGA-PBE.

Values from the calculation:
As for the space group: R-3m, No. 166.

Cell lengths 8.2373, 8.2403, 9.1670 Å; angles 116.75, 90.01, 119.98 degrees
Last column: nearest neighbours and their distance in Å.
Sites, in units of the cell vectors:
Pr: 0.7815 0.0360 0.3179  1 C 2.66, 2 Os 2.83
C: 0.0000 0.0000 0.5000  6 Pr 2.66
Pr: 0.2184 0.4369 0.6821  1 C 2.66, 2 Os 2.83
Pr: 0.2544 0.0360 0.3180  1 C 2.66, 2 Os 2.83
Pr: 0.7816 0.5631 0.3179  1 C 2.66, 2 Os 2.83
Br: 0.0000 0.5000 0.0000  6 Pr 3.31-3.40
Pr: 0.7352 0.4705 0.7053  3 Os 2.87
Os: 0.0000 0.5000 0.5000  6 Pr 2.83-2.87
Pr: 0.2648 0.5295 0.2947  3 Os 2.87
Pr: 0.2185 0.9640 0.6821  1 C 2.66, 2 Os 2.83
Os: 0.5000 0.0000 0.5000  6 Pr 2.83-2.87
Os: 0.5000 0.5000 0.5000  6 Pr 2.83-2.87
Br: 0.5000 0.5000 0.0000  6 Pr 3.32-3.40
Pr: 0.7456 0.9640 0.6820  1 C 2.66, 2 Os 2.83
Br: 0.0000 0.0000 0.0000  6 Pr 3.31-3.40

4.
An optimized crystal structure of Pr8Os3CBr4, computed with GGA-PBE.

Values from the calculation:
As for the space group: C2/m, No. 12.

Cell lengths 8.2218, 9.1333, 8.2154 Å; angles 116.65, 120.03, 90.00 degrees
Last column: nearest neighbours and their distance in Å.
Sites, in units of the cell vectors:
Os: 0.5000 0.5000 0.5000  6 Pr 2.82-2.88
Br: 0.5000 0.0000 0.0000  6 Pr 3.50
Os: 0.5000 0.5000 0.0000  6 Pr 2.83-2.87
Pr: 0.2204 0.6848 0.9643  1 C 2.68, 2 Os 2.83
Br: 0.5000 0.0000 0.5000  6 Pr 3.29-3.38
Pr: 0.7359 0.7080 0.4717  3 Os 2.87-2.88
Pr: 0.7795 0.3155 0.5591  1 C 2.68, 2 Os 2.82
Pr: 0.2641 0.2920 0.5283  3 Os 2.87-2.88
C: 0.0000 0.5000 0.0000  6 Pr 2.68
Os: 0.0000 0.5000 0.5000  6 Pr 2.82-2.88
Pr: 0.7439 0.6848 0.9643  1 C 2.68, 2 Os 2.83
Pr: 0.2561 0.3152 0.0357  1 C 2.68, 2 Os 2.83
Br: 0.0000 0.0000 0.5000  6 Pr 3.29-3.38
Pr: 0.7796 0.3152 0.0357  1 C 2.68, 2 Os 2.83
Pr: 0.2205 0.6845 0.4409  1 C 2.68, 2 Os 2.82
Br: 0.0000 0.0000 0.0000  6 Pr 3.29-3.38

| no. | final energy (Ry/atom) | raw formation energy (kcal/mol of atoms) |
| --- | --- | --- |
| 1 | -0.456 | 49.10 |
| 2 | -0.460 | -12.06 |
| 3 | -0.459 | -11.45 |
| 4 | -0.454 | -15.70 |